# ZrScW2

A relaxed ZrScW2 crystal (PBE, Alexandria).

Cell lengths 4.751, 2.846, 5.511 Å; angles 80.75, 90.00, 90.00 degrees
Positions (direct):
Sc1 0.500 0.750 0.750
W1 0.000 0.021 0.997
W2 0.000 0.479 0.503
Zr1 0.500 0.250 0.250

Results
For the total magnetization, the calculation gives 0.0 μB per cell. For the calculated total energy, the calculation gives -39.8 eV per formula unit. The value obtained for the energy above the most stable polymorph in this dataset is 131.8 meV/atom. As for the formation energy: 247 meV per atom. As for the space group: P2/m, No. 10. The crystal system is monoclinic.